No. 1
The following is a PBE calculation of a geometry-optimized Pu structure, from OQMD via LeMat-Bulk.

Lattice parameters (Å, degrees): 3.7966 3.7966 4.1066 90.00 90.00 120.00
Space group P3_121 (No. 152)
Asymmetric unit:
Pu1 0.0000 0.2957 0.1667

Results
Crystal system = trigonal
Energy relative to the elements = 0.44 eV/atom


No. 2
The following is a PBE calculation of a geometry-optimized Nd3DyHo2CoS2 structure, from OQMD via LeMat-Bulk.

Lattice parameters (Å, degrees): 3.837 13.896 8.015 90.00 90.00 90.00
Space group Amm2 (No. 38)
Asymmetric unit:
Nd1 0.000 0.000 0.000
Nd2 0.000 0.210 0.628
Dy1 0.500 0.000 0.660
Ho1 0.500 0.120 0.299
Co1 0.000 0.000 0.417
S1 0.500 0.167 0.919

Results
Crystal system = orthorhombic
Total energy = -0.2066 hartree per atom